(1)
Dy3YPt (PBE, optimized geometry); mass density = 9.0 Mg/m³; energy of formation = -531 meV per atom; total moment = 0.00 Bohr magnetons per cell; SG = No. 8
1.0
6.171 -1.880 0.000
6.171 1.880 0.000
-4.338 0.000 12.240
Dy Y Pt
6 2 2
Direct
0.000 0.000 0.000 Dy
0.294 0.294 0.374 Dy
0.343 0.343 0.767 Dy
0.530 0.530 0.248 Dy
0.653 0.653 0.539 Dy
0.951 0.951 0.605 Dy
0.641 0.641 0.833 Y
0.765 0.765 0.126 Y
0.310 0.310 0.980 Pt
0.987 0.987 0.392 Pt

=====

(2)
DyY3Pt2 (PBE, optimized geometry); mass density = 9.0 Mg/m³; energy of formation = -939 meV per atom; total moment = 0.00 Bohr magnetons per cell; SG = No. 26
1.0
4.791 0.000 0.000
0.000 8.842 0.000
0.000 0.000 7.169
Dy Y Pt
2 6 4
Direct
0.000 0.084 0.000 Dy
0.000 0.916 0.500 Dy
0.000 0.331 0.634 Y
0.000 0.669 0.134 Y
0.500 0.168 0.347 Y
0.500 0.417 0.981 Y
0.500 0.583 0.481 Y
0.500 0.832 0.847 Y
0.000 0.343 0.231 Pt
0.000 0.657 0.731 Pt
0.500 0.157 0.751 Pt
0.500 0.843 0.251 Pt

=====

(3)
DyYZnPt (PBE, optimized geometry); mass density = 9.7 Mg/m³; energy of formation = -790 meV per atom; total moment = 0.00 Bohr magnetons per cell; SG = No. 216
1.0
7.056 0.000 0.000
0.000 7.056 0.000
0.000 0.000 7.056
Dy Y Zn Pt
4 4 4 4
Direct
0.000 0.000 0.000 Dy
0.000 0.500 0.500 Dy
0.500 0.000 0.500 Dy
0.500 0.500 0.000 Dy
0.000 0.000 0.500 Y
0.000 0.500 0.000 Y
0.500 0.000 0.000 Y
0.500 0.500 0.500 Y
0.250 0.250 0.750 Zn
0.250 0.750 0.250 Zn
0.750 0.250 0.250 Zn
0.750 0.750 0.750 Zn
0.250 0.250 0.250 Pt
0.250 0.750 0.750 Pt
0.750 0.250 0.750 Pt
0.750 0.750 0.250 Pt

=====

Copy entry 1 word for word.
Dy3YPt (PBE, optimized geometry); mass density = 9.0 Mg/m³; energy of formation = -531 meV per atom; total moment = 0.00 Bohr magnetons per cell; SG = No. 8
1.0
6.171 -1.880 0.000
6.171 1.880 0.000
-4.338 0.000 12.240
Dy Y Pt
6 2 2
Direct
0.000 0.000 0.000 Dy
0.294 0.294 0.374 Dy
0.343 0.343 0.767 Dy
0.530 0.530 0.248 Dy
0.653 0.653 0.539 Dy
0.951 0.951 0.605 Dy
0.641 0.641 0.833 Y
0.765 0.765 0.126 Y
0.310 0.310 0.980 Pt
0.987 0.987 0.392 Pt

=====

Question: Look up the total moment of the second one.
Answer: 0.00 Bohr magnetons per cell

=====

Question: Look up the mass density of the first one.
Answer: 9.0 Mg/m³

=====

Question: Which of these has the highest energy of formation?
Answer: Dy3YPt